Entry 1:
# EuEr2Pt PBE relaxed
# - Volume: 113.0 Å³/cell
# - Crystal system: tetragonal
# - Total DFT energy (no corrections): -6.954 eV/atom
# - Formation enthalpy at 0 K: -0.5937 eV per atom
data_EuEr2Pt
_cell_length_a 3.5398
_cell_length_b 3.5398
_cell_length_c 9.0154
_cell_angle_alpha 90.00
_cell_angle_beta 90.00
_cell_angle_gamma 90.00
_space_group_name_H-M_alt 'P 4/m m m'
_space_group_IT_number 123
_space_group_name_Hall '-P 4 2'
loop_
_atom_site_label
_atom_site_type_symbol
_atom_site_fract_x
_atom_site_fract_y
_atom_site_fract_z
_atom_site_occupancy
Eu1 Eu 0.0000 0.0000 0.0000 1
Er1 Er 0.5000 0.5000 0.3210 1
Pt1 Pt 0.0000 0.0000 0.5000 1



Entry 2:
# EuErPt PBE relaxed
# - Volume: 337.9 Å³/cell
# - Crystal system: cubic
# - Total DFT energy (no corrections): -7.718 eV/atom
# - Formation enthalpy at 0 K: -0.7583 eV per atom
data_EuErPt
_cell_length_a 6.9650
_cell_length_b 6.9650
_cell_length_c 6.9650
_cell_angle_alpha 90.00
_cell_angle_beta 90.00
_cell_angle_gamma 90.00
_space_group_name_H-M_alt 'F -4 3 m'
_space_group_IT_number 216
_space_group_name_Hall 'F -4 2 3'
loop_
_atom_site_label
_atom_site_type_symbol
_atom_site_fract_x
_atom_site_fract_y
_atom_site_fract_z
_atom_site_occupancy
Eu1 Eu 0.0000 0.0000 0.0000 1
Er1 Er 0.0000 0.0000 0.5000 1
Pt1 Pt 0.2500 0.2500 0.2500 1



Entry 3:
# Eu2ErPt PBE relaxed
# - Volume: 400.8 Å³/cell
# - Crystal system: trigonal
# - Total DFT energy (no corrections): -7.970 eV/atom
# - Formation enthalpy at 0 K: -0.1819 eV per atom
data_Eu2ErPt
_cell_length_a 3.7928
_cell_length_b 3.7928
_cell_length_c 32.1750
_cell_angle_alpha 90.00
_cell_angle_beta 90.00
_cell_angle_gamma 120.00
_space_group_name_H-M_alt 'R -3 m'
_space_group_IT_number 166
_space_group_name_Hall '-R 3 2"'
loop_
_atom_site_label
_atom_site_type_symbol
_atom_site_fract_x
_atom_site_fract_y
_atom_site_fract_z
_atom_site_occupancy
Eu1 Eu 0.0000 0.0000 0.1080 1
Er1 Er 0.0000 0.0000 0.0000 1
Pt1 Pt 0.0000 0.0000 0.5000 1



Entry 4:
# EuEr2Pt PBE relaxed
# - Volume: 398.1 Å³/cell
# - Crystal system: trigonal
# - Total DFT energy (no corrections): -6.932 eV/atom
# - Formation enthalpy at 0 K: -0.5719 eV per atom
data_EuEr2Pt
_cell_length_a 4.0677
_cell_length_b 4.0677
_cell_length_c 27.7847
_cell_angle_alpha 90.00
_cell_angle_beta 90.00
_cell_angle_gamma 120.00
_space_group_name_H-M_alt 'R -3 m'
_space_group_IT_number 166
_space_group_name_Hall '-R 3 2"'
loop_
_atom_site_label
_atom_site_type_symbol
_atom_site_fract_x
_atom_site_fract_y
_atom_site_fract_z
_atom_site_occupancy
Eu1 Eu 0.0000 0.0000 0.0000 1
Er1 Er 0.0000 0.0000 0.2198 1
Pt1 Pt 0.0000 0.0000 0.5000 1



Entry 5:
# EuErPt4 PBE relaxed
# - Volume: 460.7 Å³/cell
# - Crystal system: cubic
# - Total DFT energy (no corrections): -7.533 eV/atom
# - Formation enthalpy at 0 K: -1.0329 eV per atom
data_EuErPt4
_cell_length_a 7.7234
_cell_length_b 7.7234
_cell_length_c 7.7234
_cell_angle_alpha 90.00
_cell_angle_beta 90.00
_cell_angle_gamma 90.00
_space_group_name_H-M_alt 'F -4 3 m'
_space_group_IT_number 216
_space_group_name_Hall 'F -4 2 3'
loop_
_atom_site_label
_atom_site_type_symbol
_atom_site_fract_x
_atom_site_fract_y
_atom_site_fract_z
_atom_site_occupancy
Eu1 Eu 0.0000 0.0000 0.0000 1
Er1 Er 0.2500 0.2500 0.2500 1
Pt1 Pt 0.1249 0.1249 0.6249 1



Entry 6:
# EuErPt PBE relaxed
# - Volume: 95.8 Å³/cell
# - Crystal system: trigonal
# - Total DFT energy (no corrections): -7.696 eV/atom
# - Formation enthalpy at 0 K: -0.7363 eV per atom
data_EuErPt
_cell_length_a 4.1557
_cell_length_b 4.1557
_cell_length_c 6.4047
_cell_angle_alpha 90.00
_cell_angle_beta 90.00
_cell_angle_gamma 120.00
_space_group_name_H-M_alt 'P 3 m 1'
_space_group_IT_number 156
loop_
_space_group_symop_operation_xyz
'x,y,z'
'-y,x-y,z'
'-x+y,-x,z'
'-y,-x,z'
'-x+y,y,z'
'x,x-y,z'
loop_
_atom_site_label
_atom_site_type_symbol
_atom_site_fract_x
_atom_site_fract_y
_atom_site_fract_z
_atom_site_occupancy
Eu1 Eu 0.0000 0.0000 0.0000 1
Er1 Er 0.6667 0.3333 0.5176 1
Pt1 Pt 0.3333 0.6667 0.7259 1



Entry 7:
# EuErTlPt PBE relaxed
# - Volume: 399.3 Å³/cell
# - Crystal system: cubic
# - Total DFT energy (no corrections): -6.420 eV/atom
# - Formation enthalpy at 0 K: -0.6092 eV per atom
data_EuErTlPt
_cell_length_a 7.3639
_cell_length_b 7.3639
_cell_length_c 7.3639
_cell_angle_alpha 90.00
_cell_angle_beta 90.00
_cell_angle_gamma 90.00
_space_group_name_H-M_alt 'F -4 3 m'
_space_group_IT_number 216
_space_group_name_Hall 'F -4 2 3'
loop_
_atom_site_label
_atom_site_type_symbol
_atom_site_fract_x
_atom_site_fract_y
_atom_site_fract_z
_atom_site_occupancy
Eu1 Eu 0.0000 0.0000 0.0000 1
Er1 Er 0.0000 0.0000 0.5000 1
Tl1 Tl 0.2500 0.2500 0.7500 1
Pt1 Pt 0.2500 0.2500 0.2500 1



Entry 8:
# EuErZnPt PBE relaxed
# - Volume: 360.7 Å³/cell
# - Crystal system: cubic
# - Total DFT energy (no corrections): -6.211 eV/atom
# - Formation enthalpy at 0 K: -0.6726 eV per atom
data_EuErZnPt
_cell_length_a 7.1181
_cell_length_b 7.1181
_cell_length_c 7.1181
_cell_angle_alpha 90.00
_cell_angle_beta 90.00
_cell_angle_gamma 90.00
_space_group_name_H-M_alt 'F -4 3 m'
_space_group_IT_number 216
_space_group_name_Hall 'F -4 2 3'
loop_
_atom_site_label
_atom_site_type_symbol
_atom_site_fract_x
_atom_site_fract_y
_atom_site_fract_z
_atom_site_occupancy
Eu1 Eu 0.0000 0.0000 0.0000 1
Er1 Er 0.0000 0.0000 0.5000 1
Zn1 Zn 0.2500 0.2500 0.2500 1
Pt1 Pt 0.2500 0.2500 0.7500 1



Entry 9:
# EuErRe4 PBE relaxed
# - Volume: 453.3 Å³/cell
# - Crystal system: cubic
# - Total DFT energy (no corrections): -10.771 eV/atom
# - Formation enthalpy at 0 K: 0.0008 eV per atom
data_EuErRe4
_cell_length_a 7.6819
_cell_length_b 7.6819
_cell_length_c 7.6819
_cell_angle_alpha 90.00
_cell_angle_beta 90.00
_cell_angle_gamma 90.00
_space_group_name_H-M_alt 'F -4 3 m'
_space_group_IT_number 216
_space_group_name_Hall 'F -4 2 3'
loop_
_atom_site_label
_atom_site_type_symbol
_atom_site_fract_x
_atom_site_fract_y
_atom_site_fract_z
_atom_site_occupancy
Eu1 Eu 0.0000 0.0000 0.0000 1
Er1 Er 0.2500 0.2500 0.2500 1
Re1 Re 0.1249 0.1249 0.6249 1



Entry 10:
# Eu2ErRh PBE relaxed
# - Volume: 362.8 Å³/cell
# - Crystal system: trigonal
# - Total DFT energy (no corrections): -8.048 eV/atom
# - Formation enthalpy at 0 K: 0.0675 eV per atom
data_Eu2ErRh
_cell_length_a 3.6261
_cell_length_b 3.6261
_cell_length_c 31.8614
_cell_angle_alpha 90.00
_cell_angle_beta 90.00
_cell_angle_gamma 120.00
_space_group_name_H-M_alt 'R -3 m'
_space_group_IT_number 166
_space_group_name_Hall '-R 3 2"'
loop_
_atom_site_label
_atom_site_type_symbol
_atom_site_fract_x
_atom_site_fract_y
_atom_site_fract_z
_atom_site_occupancy
Eu1 Eu 0.0000 0.0000 0.1057 1
Er1 Er 0.0000 0.0000 0.0000 1
Rh1 Rh 0.0000 0.0000 0.5000 1



Entry 11:
# EuEr3Rh PBE relaxed
# - Volume: 159.2 Å³/cell
# - Crystal system: cubic
# - Total DFT energy (no corrections): -6.586 eV/atom
# - Formation enthalpy at 0 K: -0.3235 eV per atom
data_EuEr3Rh
_cell_length_a 5.4199
_cell_length_b 5.4199
_cell_length_c 5.4199
_cell_angle_alpha 90.00
_cell_angle_beta 90.00
_cell_angle_gamma 90.00
_space_group_name_H-M_alt 'P m -3 m'
_space_group_IT_number 221
_space_group_name_Hall '-P 4 2 3'
loop_
_atom_site_label
_atom_site_type_symbol
_atom_site_fract_x
_atom_site_fract_y
_atom_site_fract_z
_atom_site_occupancy
Eu1 Eu 0.0000 0.0000 0.0000 1
Er1 Er 0.0000 0.5000 0.5000 1
Rh1 Rh 0.5000 0.5000 0.5000 1



Entry 12:
# EuErRh2 PBE relaxed
# - Volume: 82.6 Å³/cell
# - Crystal system: tetragonal
# - Total DFT energy (no corrections): -8.040 eV/atom
# - Formation enthalpy at 0 K: -0.6553 eV per atom
data_EuErRh2
_cell_length_a 3.4113
_cell_length_b 3.4113
_cell_length_c 7.0963
_cell_angle_alpha 90.00
_cell_angle_beta 90.00
_cell_angle_gamma 90.00
_space_group_name_H-M_alt 'P 4/m m m'
_space_group_IT_number 123
_space_group_name_Hall '-P 4 2'
loop_
_atom_site_label
_atom_site_type_symbol
_atom_site_fract_x
_atom_site_fract_y
_atom_site_fract_z
_atom_site_occupancy
Eu1 Eu 0.0000 0.0000 0.0000 1
Er1 Er 0.0000 0.0000 0.5000 1
Rh1 Rh 0.5000 0.5000 0.2743 1



Number 5 is which compound?
EuErPt4



Which value of formation enthalpy at 0 K does entry 3 give?
-0.1819 eV per atom



The highest volume belongs to which entry?
EuErPt4